1.
Density functional theory data (PBE with a Hubbard U) for Al2WO5 after structural relaxation.

Cell and atoms, written as extended XYZ:
```
16
Lattice="3.158 0.000 0.000 0.000 11.594 0.000 0.000 0.000 4.867" Properties=species:S:1:pos:R:3 pbc="T T T"
Al 0.790 1.142 0.302
Al 0.790 4.655 0.302
Al 2.369 6.939 4.565
Al 2.369 10.452 4.565
W 0.790 8.696 2.034
W 2.369 2.899 2.832
O 0.790 1.671 2.003
O 0.790 2.899 4.341
O 0.790 4.126 2.003
O 0.790 6.628 0.487
O 0.790 10.763 0.487
O 2.369 0.831 4.380
O 2.369 4.966 4.380
O 2.369 7.468 2.863
O 2.369 8.696 0.526
O 2.369 9.923 2.863
```

Summary:
calculated total energy	-7.379	eV per atom
total magnetization	2.00	μB/f.u.

***

2.
Density functional theory data (PBE with a Hubbard U) for Al3WO after structural relaxation.

Cell and atoms, written as extended XYZ:
```
5
Lattice="5.061 0.000 0.000 0.000 5.061 0.000 0.000 0.000 5.061" Properties=species:S:1:pos:R:3 pbc="T T T"
Al 0.000 0.000 2.531
Al 0.000 2.531 0.000
Al 2.531 0.000 0.000
W 0.000 0.000 0.000
O 2.531 2.531 2.531
```

Summary:
calculated total energy	-3.439	eV per atom
total magnetization	4.42	μB/f.u.

***

3.
Density functional theory data (PBE with a Hubbard U) for AlWO2 after structural relaxation.

Cell and atoms, written as extended XYZ:
```
4
Lattice="1.410 0.814 6.252 -1.410 0.814 6.252 0.000 -1.628 6.252" Properties=species:S:1:pos:R:3 pbc="T T T"
Al 0.000 0.000 0.000
W 0.000 0.000 9.378
O 0.000 0.000 7.238
O 0.000 0.000 11.519
```

Summary:
calculated total energy	-6.911	eV per atom
total magnetization	0.00	μB/f.u.

***

4.
Density functional theory data (PBE with a Hubbard U) for Al3WO after structural relaxation.

Cell and atoms, written as extended XYZ:
```
5
Lattice="4.070 0.000 0.000 0.000 4.070 0.000 0.000 0.000 4.070" Properties=species:S:1:pos:R:3 pbc="T T T"
Al 0.000 0.000 2.035
Al 0.000 2.035 0.000
Al 2.035 0.000 0.000
W 2.035 2.035 2.035
O 0.000 0.000 0.000
```

Summary:
calculated total energy	-4.994	eV per atom
total magnetization	0.00	μB/f.u.

***

5.
Density functional theory data (PBE with a Hubbard U) for Al2W3O12 after structural relaxation.

Cell and atoms, written as extended XYZ:
```
17
Lattice="4.638 0.000 0.000 0.175 5.494 0.000 0.241 0.386 7.578" Properties=species:S:1:pos:R:3 pbc="T T T"
Al 0.124 0.977 2.568
Al 4.929 4.904 5.010
W 2.526 2.205 5.145
W 2.319 0.000 0.000
W 2.527 3.676 2.433
O 1.171 4.909 3.302
O 1.230 3.402 5.602
O 1.037 0.923 0.970
O 1.526 0.590 5.812
O 1.569 2.171 3.310
O 1.722 3.823 0.736
O 3.332 2.058 6.842
O 3.484 3.710 4.269
O 3.527 5.291 1.766
O 4.017 4.958 6.608
O 3.824 2.478 1.977
O 3.883 0.972 4.276
```

Summary:
calculated total energy	-7.353	eV per atom
total magnetization	0.00	μB/f.u.

***

6.
Density functional theory data (PBE with a Hubbard U) for AlWO3 after structural relaxation.

Cell and atoms, written as extended XYZ:
```
5
Lattice="3.986 0.000 0.000 0.000 3.986 0.000 0.000 0.000 3.986" Properties=species:S:1:pos:R:3 pbc="T T T"
Al 0.000 0.000 0.000
W 1.993 1.993 1.993
O 0.000 1.993 1.993
O 1.993 0.000 1.993
O 1.993 1.993 0.000
```

Summary:
calculated total energy	-6.459	eV per atom
total magnetization	1.00	μB/f.u.

***

7.
Density functional theory data (PBE with a Hubbard U) for AlW3O8 after structural relaxation.

Cell and atoms, written as extended XYZ:
```
12
Lattice="5.178 0.000 0.000 1.326 5.431 0.000 0.230 2.008 5.545" Properties=species:S:1:pos:R:3 pbc="T T T"
Al 0.000 0.000 0.000
W 2.748 3.552 3.839
W 4.737 5.877 2.981
W 5.457 2.866 1.966
O 0.936 3.803 0.419
O 1.026 4.399 3.195
O 1.849 2.662 5.230
O 2.138 1.980 2.575
O 3.660 5.129 4.489
O 3.780 4.165 2.145
O 4.472 2.227 3.950
O 4.608 1.076 1.342
```

Summary:
calculated total energy	-7.465	eV per atom
total magnetization	5.00	μB/f.u.

***

8.
Density functional theory data (PBE with a Hubbard U) for AlW3O8 after structural relaxation.

Cell and atoms, written as extended XYZ:
```
24
Lattice="5.252 0.000 0.000 -0.087 5.609 0.000 -0.058 -0.019 9.306" Properties=species:S:1:pos:R:3 pbc="T T T"
Al 1.279 0.918 2.312
Al 3.829 4.672 6.994
W 1.222 3.714 0.046
W 1.258 3.664 4.635
W 1.304 0.755 6.971
W 3.804 4.834 2.336
W 3.849 1.925 4.671
W 3.886 1.876 9.260
O 0.264 4.922 5.969
O 0.375 5.024 1.324
O 0.432 2.101 5.732
O 0.471 2.124 1.091
O 1.996 2.063 8.222
O 2.051 2.150 3.530
O 2.098 5.058 3.364
O 2.152 4.871 7.983
O 2.956 0.718 1.323
O 3.010 0.532 5.942
O 3.057 3.439 5.776
O 3.112 3.526 1.084
O 4.637 3.466 8.215
O 4.676 3.488 3.574
O 4.733 0.565 7.982
O 4.843 0.667 3.337
```

Summary:
calculated total energy	-7.585	eV per atom
total magnetization	5.00	μB/f.u.

***

9.
Density functional theory data (PBE with a Hubbard U) for AlWO3 after structural relaxation.

Cell and atoms, written as extended XYZ:
```
10
Lattice="3.370 0.000 0.000 -1.685 2.919 0.000 0.000 0.000 12.186" Properties=species:S:1:pos:R:3 pbc="T T T"
Al 0.000 0.000 0.000
Al 0.000 0.000 6.093
W 0.000 1.946 3.046
W 1.685 0.973 9.139
O 0.000 0.000 3.046
O 0.000 0.000 9.139
O 0.000 1.946 0.871
O 0.000 1.946 5.222
O 1.685 0.973 6.964
O 1.685 0.973 11.315
```

Summary:
calculated total energy	-6.906	eV per atom
total magnetization	2.46	μB/f.u.

***

10.
Density functional theory data (PBE with a Hubbard U) for AlWO4 after structural relaxation.

Cell and atoms, written as extended XYZ:
```
6
Lattice="3.210 -3.362 0.000 3.210 3.362 0.000 0.000 0.000 2.884" Properties=species:S:1:pos:R:3 pbc="T T T"
Al 0.000 0.000 0.000
W 3.210 0.000 1.442
O 1.260 0.000 1.442
O 3.210 1.440 0.000
O 3.210 -1.440 0.000
O 5.161 0.000 1.442
```

Summary:
calculated total energy	-7.474	eV per atom
total magnetization	0.17	μB/f.u.

***

11.
Density functional theory data (PBE with a Hubbard U) for AlWO3 after structural relaxation.

Cell and atoms, written as extended XYZ:
```
20
Lattice="5.938 0.000 0.000 0.000 8.704 0.000 0.000 0.000 4.865" Properties=species:S:1:pos:R:3 pbc="T T T"
Al 0.942 2.176 0.206
Al 2.027 6.528 2.638
Al 3.911 2.176 2.227
Al 4.996 6.528 4.660
W 0.000 0.000 2.433
W 0.000 4.352 2.433
W 2.969 0.000 0.000
W 2.969 4.352 0.000
O 0.244 6.528 3.295
O 1.077 0.721 4.137
O 1.077 3.631 4.137
O 1.892 5.073 1.704
O 1.892 7.983 1.704
O 2.725 2.176 0.862
O 3.213 6.528 4.003
O 4.046 0.721 3.161
O 4.046 3.631 3.161
O 4.861 5.073 0.728
O 4.861 7.983 0.728
O 5.694 2.176 1.570
```

Summary:
calculated total energy	-7.353	eV per atom
total magnetization	3.00	μB/f.u.

***

12.
Density functional theory data (PBE with a Hubbard U) for AlWO3 after structural relaxation.

Cell and atoms, written as extended XYZ:
```
5
Lattice="3.666 0.000 0.000 0.000 3.666 0.000 0.000 0.000 3.666" Properties=species:S:1:pos:R:3 pbc="T T T"
Al 0.000 0.000 0.000
W 1.833 1.833 1.833
O 0.000 0.000 1.833
O 0.000 1.833 0.000
O 1.833 0.000 0.000
```

Summary:
calculated total energy	-6.667	eV per atom
total magnetization	3.00	μB/f.u.